KPt2I | PBE | optimized geometry

Properties
- Mass density: 10.505 Mg/m³
- Calculated total energy: -3.0927 eV per atom
- ΔE_f (raw): 2.4 eV/f.u.

Unit cell a=7.0583 b=7.0583 c=7.0583 alpha=90.00 beta=90.00 gamma=90.00
Space group Fm-3m (No. 225)
Asymmetric unit:
K: 0.0000 0.0000 0.0000 x4
Pt: 0.2500 0.2500 0.2500 x8
I: 0.0000 0.0000 0.5000 x4